# 1
The following is a DFT calculation (PBE) of a relaxed structure of Cs2HoMg2S4.

The structure in POSCAR format:
```
Cs2HoMg2S4
1.0
-0.688 3.348 2.297
-8.024 -1.687 0.057
3.430 -5.277 5.027
Cs Ho Mg S
2 1 2 4
Direct
0.127 0.535 0.254 Cs
0.873 0.465 0.746 Cs
0.000 0.000 0.000 Ho
0.672 0.976 0.343 Mg
0.328 0.024 0.657 Mg
0.197 0.151 0.394 S
0.803 0.849 0.606 S
0.522 0.783 0.045 S
0.478 0.217 0.955 S
```

Results
E_form (uncorrected), eV/atom: -1.3737
V, Å³/f.u.: 252
Fermi-level density of states, states/eV/cell: 4.489



# 2
The following is a DFT calculation (PBE) of a relaxed structure of BaIn2Os.

The structure in POSCAR format:
```
BaIn2Os
1.0
-1.601 -4.957 -0.233
4.848 -1.470 -1.235
-0.837 2.790 4.325
Ba In Os
1 2 1
Direct
0.750 0.250 0.500 Ba
0.000 0.000 0.000 In
0.250 0.750 0.500 In
0.500 0.500 0.000 Os
```

Results
Calculated formation energy, eV/atom: 0.667
V, Å³/f.u.: 101
Fermi-level density of states, states/eV/cell: 4.953



DFT total energy
In order: -38.35 -15.96
Unit: eV per cell